# 1
NdNiHg (PBE, optimized geometry); final energy = -0.1405 Ha/atom; ΔH_f (0 K) = -0.21 eV/atom; space group = I4mm (107)
1.0
-1.1662 0.8535 -3.2914
-0.5641 -3.4799 -0.7025
-3.8455 1.7187 3.7711
Ni Nd Hg
1 1 1
Direct
0.2787 0.2787 0.5575
0.9358 0.9358 0.8716
0.6355 0.6355 0.2710



# 2
Nd2NiHg (PBE, optimized geometry); final energy = -0.1535 Ha/atom; E above lowest polymorph = 72.8 meV/atom; ΔH_f (0 K) = -0.27 eV/atom; space group = Fm-3m (225)
1.0
-2.7984 -3.0064 3.2224
2.4063 -2.8987 3.6139
-0.4059 1.2584 5.0503
Ni Nd Hg
1 2 1
Direct
0.0000 0.0000 0.0000
0.2500 0.2500 0.2500
0.7500 0.7500 0.7500
0.5000 0.5000 0.5000



# 3
Nd4NiHg3 (PBE, optimized geometry); final energy = -0.1330 Ha/atom; ΔH_f (0 K) = -0.40 eV/atom; space group = P4/mmm (123)
1.0
3.7165 0.0000 0.0000
0.0000 3.7165 0.0000
0.0000 0.0000 15.4071
Ni Nd Hg
1 4 3
Direct
0.5000 0.5000 0.0000
0.0000 0.0000 0.8935
0.0000 0.0000 0.1065
0.0000 0.0000 0.3691
0.0000 0.0000 0.6309
0.5000 0.5000 0.2408
0.5000 0.5000 0.5000
0.5000 0.5000 0.7592



These records have calculated volume values of 65.25 100.60 212.81 Å³/cell, in the order they appear.
These records have size of the total moment values of 0.00 0.00 0.04 μB per atom, in the order they appear.